Density functional theory data (GGA-PBE) for crystalline MnPd2Pt5 at its relaxed geometry.

POSCAR file:
```
MnPd2Pt5
1.0
7.709 0.000 2.850
2.851 10.100 4.139
1.472 1.855 7.869
Mn Pd Pt
4 8 20
Direct
0.046 0.131 0.281
0.458 0.369 0.219
0.542 0.631 0.781
0.954 0.869 0.719
0.372 0.124 0.626
0.718 0.130 0.951
0.799 0.370 0.549
0.878 0.624 0.126
0.122 0.376 0.874
0.201 0.630 0.451
0.282 0.870 0.049
0.628 0.876 0.374
0.040 0.125 0.956
0.280 0.880 0.711
0.734 0.120 0.615
0.366 0.128 0.297
0.791 0.372 0.203
0.375 0.125 0.961
0.461 0.375 0.539
0.121 0.375 0.544
0.130 0.380 0.211
0.470 0.380 0.885
0.530 0.620 0.115
0.870 0.620 0.789
0.879 0.625 0.456
0.539 0.625 0.461
0.625 0.875 0.039
0.209 0.628 0.797
0.634 0.872 0.703
0.266 0.880 0.385
0.720 0.120 0.289
0.960 0.875 0.044
```

Calculated values
As for the spin magnetization: 0.51 μB/atom. The raw total energy comes out at -6.254 eV/atom. The value obtained for the formation enthalpy at 0 K is -0.034 eV per atom. The value obtained for the energy above the most stable polymorph in this dataset is 134 meV per atom.